Below is a relaxed structure of Ce4Bi3C, with properties calculated at the PBE level.

POSCAR file:
```
Ce4Bi3C
1.0
12.383 0.000 0.000
0.000 6.419 0.000
0.000 0.000 6.420
Ce Bi C
8 6 2
Direct
0.000 0.186 0.000
0.000 0.764 0.421
0.199 0.746 0.982
0.301 0.254 0.482
0.500 0.236 0.921
0.500 0.814 0.500
0.699 0.254 0.482
0.801 0.746 0.982
0.000 0.265 0.501
0.250 0.249 0.986
0.250 0.751 0.486
0.500 0.735 0.001
0.750 0.249 0.986
0.750 0.751 0.486
0.000 0.823 0.059
0.500 0.177 0.559
```

Summary:
raw total energy	-6.036	eV per atom

=====

Below is a relaxed structure of ReTc2I, with properties calculated at the PBE level.

POSCAR file:
```
ReTc2I
1.0
-2.889 2.889 5.797
2.889 -2.889 5.797
2.889 2.889 -5.797
Re Tc I
2 4 2
Direct
0.000 0.000 0.000
0.750 0.250 0.500
0.091 0.625 0.966
0.375 0.341 0.466
0.659 0.125 0.034
0.875 0.909 0.534
0.250 0.750 0.500
0.500 0.500 0.000
```

Summary:
raw total energy	-7.510	eV per atom
formation energy (no corrections)	4.7	eV per formula unit
energy above the most stable polymorph in this dataset	89	meV/atom

=====

Below is a relaxed structure of DyThPSe, with properties calculated at the PBE level.

POSCAR file:
```
DyThPSe
1.0
2.009 1.160 7.154
-2.009 1.160 7.154
0.000 -2.320 7.154
Dy Th P Se
1 1 1 1
Direct
0.000 0.000 0.000
0.813 0.813 0.813
0.404 0.404 0.404
0.242 0.242 0.242
```

Summary:
raw total energy	-6.853	eV per atom
formation energy (no corrections)	-6.5	eV per formula unit

=====

Below is a relaxed structure of NpPt4Rh, with properties calculated at the PBE level.

POSCAR file:
```
NpPt4Rh
1.0
0.000 3.749 3.749
3.749 0.000 3.749
3.749 3.749 0.000
Np Pt Rh
1 4 1
Direct
0.000 0.000 0.000
0.126 0.625 0.625
0.625 0.126 0.625
0.625 0.625 0.126
0.625 0.625 0.625
0.250 0.250 0.250
```

Summary:
raw total energy	-7.745	eV per atom

=====

The highest raw total energy belongs to which entry? Ce4Bi3C

=====

Look up the raw total energy of the third one. -6.853 eV per atom

=====

The highest raw total energy belongs to which entry? Ce4Bi3C